No. 1
The following is a DFT calculation (PBE) of a relaxed Tb2ZrScP4 crystal.

Properties
Formation enthalpy at 0 K in eV/atom: -1.526

Cell: 3.8783 6.7113 6.7320 Å, 109.34 90.00 90.00°
Closest atoms and distances in Å follow each position.
Sites, in units of the cell vectors:
P1 0.5000 0.2447 0.2337  1 Sc 2.68, 2 Zr 2.69, 3 Tb 2.80-2.81
Tb1 0.0000 0.5000 0.5000  6 P 2.81
P2 0.0000 0.7447 0.2331  1 Zr 2.68, 2 Sc 2.69, 3 Tb 2.81
Tb2 0.5000 0.0000 0.5000  6 P 2.80-2.81
Sc1 0.5000 0.5000 0.0000  6 P 2.68-2.69
P3 0.0000 0.2553 0.7669  1 Zr 2.68, 2 Sc 2.69, 3 Tb 2.81
Zr1 0.0000 0.0000 0.0000  6 P 2.68-2.69
P4 0.5000 0.7553 0.7663  1 Sc 2.68, 2 Zr 2.69, 3 Tb 2.80-2.81


No. 2
The following is a DFT calculation (PBE) of a relaxed NaAs6Pd12 crystal.

Properties
Formation enthalpy at 0 K in eV/atom: -0.312

Cell: 7.2947 7.2947 7.2947 Å, 104.50 104.50 104.50°
Closest atoms and distances in Å follow each position.
Sites, in units of the cell vectors:
Pd1 0.1714 0.4386 0.4386  3 As 2.55-2.59
Pd2 0.5000 0.1245 0.8755  4 As 2.49-2.53
Na1 0.0000 0.0000 0.0000  18 Pd 3.59-3.92, 6 As 3.80
Pd3 0.8755 0.1245 0.5000  4 As 2.49-2.53
Pd4 0.5614 0.5614 0.8286  3 As 2.55-2.59
As1 0.7558 0.7558 0.3212  7 Pd 2.49-2.59
Pd5 0.4386 0.4386 0.1714  3 As 2.55-2.59
Pd6 0.8755 0.5000 0.1245  4 As 2.49-2.53
Pd7 0.1245 0.5000 0.8755  4 As 2.49-2.53
As2 0.3212 0.7558 0.7558  7 Pd 2.49-2.59
Pd8 0.5000 0.8755 0.1245  4 As 2.49-2.53
As3 0.2442 0.2442 0.6788  7 Pd 2.49-2.59
As4 0.7558 0.3212 0.7558  7 Pd 2.49-2.59
As5 0.6788 0.2442 0.2442  7 Pd 2.49-2.59
Pd9 0.5614 0.8286 0.5614  3 As 2.55-2.59
Pd10 0.8286 0.5614 0.5614  3 As 2.55-2.59
As6 0.2442 0.6788 0.2442  7 Pd 2.49-2.59
Pd11 0.4386 0.1714 0.4386  3 As 2.55-2.59
Pd12 0.1245 0.8755 0.5000  4 As 2.49-2.53


No. 3
The following is a DFT calculation (PBE) of a relaxed CeDy8Er2 crystal.

Properties
Formation enthalpy at 0 K in eV/atom: 0.174

Cell: 5.5314 10.1304 10.1304 Å, 39.71 92.72 92.72°
Closest atoms and distances in Å follow each position.
Sites, in units of the cell vectors:
Dy1 0.7333 0.3989 0.8673  4 Dy 3.22-3.52, 3 Er 3.41-3.58, 1 Ce 3.51
Dy2 0.2334 0.1878 0.1878  4 Er 3.32-3.48, 4 Dy 3.43-3.52
Dy3 0.7619 0.4537 0.4537  1 Dy 3.10, 1 Er 3.23
Dy4 0.2667 0.6011 0.1327  4 Dy 3.22-3.52, 3 Er 3.41-3.58, 1 Ce 3.51
Er1 0.2501 0.7159 0.7159  11 Dy 3.23-3.58
Dy5 0.7666 0.8122 0.8122  4 Er 3.32-3.48, 4 Dy 3.43-3.52
Dy6 0.2381 0.5463 0.5463  1 Dy 3.10, 1 Er 3.23
Dy7 0.7333 0.8673 0.3989  4 Dy 3.22-3.52, 3 Er 3.41-3.58, 1 Ce 3.51
Er2 0.7499 0.2841 0.2841  11 Dy 3.23-3.58
Ce1 0.0000 0.0000 0.0000  10 Dy 3.51-3.77
Dy8 0.2667 0.1327 0.6011  4 Dy 3.22-3.52, 3 Er 3.41-3.58, 1 Ce 3.51


No. 4
The following is a DFT calculation (PBE) of a relaxed U2SiPt crystal.

Properties
Uncorrected formation energy in meV per atom: -539

Cell: 4.5722 5.4502 5.6308 Å, 90.00 90.00 90.00°
Closest atoms and distances in Å follow each position.
Sites, in units of the cell vectors:
U1 0.7500 0.1168 0.9909  4 U 2.62-2.92
Pt1 0.7500 0.5948 0.2500  4 Si 2.57-2.82
U2 0.2500 0.8832 0.0091  4 U 2.62-2.92
U3 0.2500 0.8832 0.4908  4 U 2.62-2.92
U4 0.7500 0.1168 0.5092  4 U 2.62-2.92
Si1 0.7500 0.6219 0.7500  4 Pt 2.57-2.82
Si2 0.2500 0.3781 0.2500  4 Pt 2.57-2.82
Pt2 0.2500 0.4052 0.7500  4 Si 2.57-2.82


No. 5
The following is a DFT calculation (PBE) of a relaxed AcPuAgP crystal.

Properties
Formation enthalpy at 0 K in eV/atom: -0.418

Cell: 5.2614 5.2614 5.2614 Å, 60.00 60.00 60.00°
Closest atoms and distances in Å follow each position.
Sites, in units of the cell vectors:
Pu1 0.5000 0.5000 0.5000  4 P 3.22, 4 Ag 3.22
Ac1 0.0000 0.0000 0.0000  4 P 3.22, 4 Ag 3.22
Ag1 0.2500 0.2500 0.2500  4 Ac 3.22, 4 Pu 3.22
P1 0.7500 0.7500 0.7500  4 Ac 3.22, 4 Pu 3.22


No. 6
The following is a DFT calculation (PBE) of a relaxed Nd4SbAs5 crystal.

Properties
Uncorrected formation energy in meV per atom: -1148

Cell: 4.2505 4.2505 15.4132 Å, 97.93 97.93 90.00°
Closest atoms and distances in Å follow each position.
Sites, in units of the cell vectors:
Nd1 0.8000 0.8000 0.6000  6 As 3.01-3.04
As1 0.2998 0.2998 0.5997  6 Nd 3.01-3.03
Nd2 0.6000 0.6000 0.2001  6 As 3.01-3.03
As2 0.5000 0.5000 0.0000  4 Sb 3.01, 2 Nd 3.02
Sb1 0.0000 0.0000 0.0000  6 As 3.00-3.01
Nd3 0.4000 0.4000 0.7999  6 As 3.01-3.03
As3 0.7002 0.7002 0.4003  6 Nd 3.01-3.03
As4 0.9007 0.9007 0.8015  1 Sb 3.00, 5 Nd 3.01-3.04
As5 0.0993 0.0993 0.1985  1 Sb 3.00, 5 Nd 3.01-3.04
Nd4 0.2000 0.2000 0.4000  6 As 3.01-3.04


no.,density of states at the Fermi level (states/eV per cell)
1,1.493
2,6.937
3,21.502
4,12.698
5,11.015
6,1.662